No. 1
# CrTe2

A relaxed structure of CrTe2 (PBEsol, the Alexandria database).

The structure belongs to space group P-3m1 (No. 164); the cell edges are 3.7522, 3.7522 and 5.9626 Å and the angles 90.00°, 90.00° and 120.00°. The distinct sites, in fractional coordinates, are Cr at (0.0000, 0.0000, 0.0000) and Te at (0.3333, 0.6667, 0.7421).

As for the total magnetization: 2.40 μB/f.u. The formation energy (no corrections) comes out at -147 meV/atom.



No. 2
# LiIn2P

A relaxed structure of LiIn2P (PBEsol, the Alexandria database).

The structure belongs to space group Cm (No. 8); the cell edges are 8.5376, 3.6836 and 5.9732 Å and the angles 90.00°, 111.56° and 90.00°. The distinct sites, in fractional coordinates, are Li at (0.0000, 0.0000, 0.0000), In at (0.1351, 0.5000, 0.6740), In at (0.3385, 0.5000, 0.3704) and P at (0.2969, 0.0000, 0.0181).

The formation energy comes out at -17.2 kJ per mole of atoms. As for the total magnetization: 0.00 μB/f.u.